Record 1
Below is crystalline Ca3BeRu at its relaxed geometry, with properties calculated at the PBE-GGA level.

abc: 5.362 5.362 5.362
angles: 90.00 90.00 90.00
Space group Pm-3m (No. 221)
Asymmetric unit:
Ca 0.000 0.000 0.500
Be 0.500 0.500 0.500
Ru 0.000 0.000 0.000

Results
Its crystal system is cubic. The energy above the lowest structure with this stoichiometry is 0.000 eV per atom. The energy is -3.19 eV per atom. The value obtained for the density is 2.48 g cm⁻³. Its energy of formation is 0.606 eV per atom. For the magnetization, the calculation gives 0.00 Bohr magnetons per cell.


Record 2
Below is crystalline InSbSe3 at its relaxed geometry, with properties calculated at the PBE-GGA level.

abc: 3.992 20.903 6.975
angles: 90.00 90.00 90.00
Space group Cmc2_1 (No. 36)
Asymmetric unit:
In 0.000 0.159 0.000
Sb 0.000 0.344 0.993
Se 0.000 0.084 0.330
Se 0.000 0.255 0.645
Se 0.000 0.410 0.331

Results
Its crystal system is orthorhombic. The energy is -3.84 eV per atom. The value obtained for the density is 5.40 g cm⁻³. For the magnetization, the calculation gives 0.00 Bohr magnetons per cell. Its energy relative to the elements, uncorrected is -0.381 eV/atom.


Record 3
Below is crystalline Zr2CrTe at its relaxed geometry, with properties calculated at the PBE-GGA level.

abc: 3.567 3.567 6.314
angles: 90.00 90.00 90.00
Space group P4/mmm (No. 123)
Asymmetric unit:
Zr 0.000 0.000 0.233
Cr 0.500 0.500 0.000
Te 0.500 0.500 0.500

Results
Its crystal system is tetragonal. The energy is -7.60 eV per atom. The value obtained for the density is 7.48 g cm⁻³. For the magnetization, the calculation gives 0.73 Bohr magnetons per cell. Its energy relative to the elements, uncorrected is -0.135 eV/atom.


Record 4
Below is crystalline LiEuDyGe at its relaxed geometry, with properties calculated at the PBE-GGA level.

abc: 7.295 7.295 7.295
angles: 90.00 90.00 90.00
Space group F-43m (No. 216)
Asymmetric unit:
Li 0.000 0.000 0.000
Eu 0.250 0.250 0.250
Dy 0.250 0.250 0.750
Ge 0.000 0.000 0.500

Results
Its crystal system is cubic. The energy is -5.72 eV per atom. The value obtained for the density is 6.74 g cm⁻³. Its energy of formation is -0.370 eV per atom. For the magnetization, the calculation gives 29.79 Bohr magnetons per cell.


Record 5
Below is crystalline NdThBiSe at its relaxed geometry, with properties calculated at the PBE-GGA level.

abc: 4.2979 4.2979 22.8564
angles: 90.00 90.00 120.00
Space group R3m (No. 160, hexagonal axes)
Asymmetric unit:
Nd 0.0000 0.0000 0.0000
Th 0.0000 0.0000 0.1862
Bi 0.0000 0.0000 0.4265
Se 0.0000 0.0000 0.5954

Results
Its crystal system is trigonal. The energy is -6.08 eV per atom. The value obtained for the density is 9.05 g cm⁻³. For the magnetization, the calculation gives 0.00 Bohr magnetons per cell. Its energy relative to the elements, uncorrected is -1.191 eV/atom.


Record 6
Below is crystalline ReBi2SbCl at its relaxed geometry, with properties calculated at the PBE-GGA level.

abc: 5.350 5.350 5.248
angles: 90.00 90.00 90.00
Space group P4/mmm (No. 123)
Asymmetric unit:
Re 0.000 0.000 0.000
Bi 0.000 0.500 0.500
Sb 0.500 0.500 0.000
Cl 0.500 0.500 0.500

Results
Its crystal system is tetragonal. The energy is -3.63 eV per atom. The value obtained for the density is 8.42 g cm⁻³. For the magnetization, the calculation gives 2.83 Bohr magnetons per cell. Its energy relative to the elements, uncorrected is 1.603 eV/atom.